No. 1
Zr4TiOs5 after structural relaxation, computed with PBE.

Structure (POSCAR):
```
Zr4TiOs5
1.0
3.244 0.000 0.000
0.000 3.244 0.000
0.000 0.000 16.284
Zr Ti Os
4 1 5
Cartesian
0.000 0.000 1.661
0.000 0.000 4.979
0.000 0.000 11.305
0.000 0.000 14.623
0.000 0.000 8.142
1.622 1.622 0.000
1.622 1.622 3.318
1.622 1.622 6.649
1.622 1.622 9.635
1.622 1.622 12.966
```

Output
Density of states at the Fermi level ... 2.672 states/eV per cell
Calculated formation energy ... -0.534 eV/atom

No. 2
ZrTi2Os2 after structural relaxation, computed with PBE.

Structure (POSCAR):
```
ZrTi2Os2
1.0
3.112 0.000 0.000
0.000 18.353 0.000
0.000 0.000 3.103
Zr Ti Os
2 4 4
Cartesian
0.000 0.000 0.000
1.556 9.176 0.000
0.000 3.250 0.000
0.000 15.103 0.000
1.556 5.927 0.000
1.556 12.426 0.000
0.000 7.341 1.551
0.000 11.012 1.551
1.556 1.836 1.551
1.556 16.517 1.551
```

Output
Density of states at the Fermi level ... 7.949 states/eV per cell
Excess energy over the best structure of this formula in the dataset ... 0.020 eV/atom
Calculated formation energy ... -0.241 eV/atom

No. 3
Zr2Ti3Os after structural relaxation, computed with PBE.

Structure (POSCAR):
```
Zr2Ti3Os
1.0
2.807 1.621 4.038
-2.807 1.621 4.038
0.000 -3.242 4.038
Zr Ti Os
2 3 1
Cartesian
0.000 0.000 1.511
0.000 0.000 10.602
-1.404 -0.810 4.038
-1.404 0.810 8.075
0.000 1.621 4.038
0.000 0.000 6.056
```

Output
Density of states at the Fermi level ... 7.301 states/eV per cell
Calculated formation energy ... -0.293 eV/atom

No. 4
ZrTi3Os after structural relaxation, computed with PBE.

Structure (POSCAR):
```
ZrTi3Os
1.0
4.734 0.000 0.000
0.000 4.734 0.000
0.000 0.000 4.734
Zr Ti Os
1 3 1
Cartesian
0.000 0.000 0.000
0.000 2.367 2.367
2.367 0.000 2.367
2.367 2.367 0.000
2.367 2.367 2.367
```

Output
Density of states at the Fermi level ... 5.201 states/eV per cell
Excess energy over the best structure of this formula in the dataset ... 0.000 eV/atom
Calculated formation energy ... 0.370 eV/atom

density of states at the Fermi level of number 4 (ZrTi3Os)?
5.201 states/eV per cell